First-principles (GGA-PBE) data for a relaxed IrSe2S crystal, as listed in the Alexandria database.

```
IrSe2S
1.0
4.900 0.000 0.000
0.000 3.553 0.000
-1.300 0.000 4.786
S Ir Se
1 1 2
direct
0.552 0.000 0.119 S
0.238 0.500 0.987 Ir
0.109 0.500 0.444 Se
0.857 0.000 0.821 Se
```

Calculated values
Raw formation energy = -20 meV/atom
Electronic total energy = -20.0 eV/cell
Space-group type = Pm (6)